First-principles (PBE) data for a geometry-optimized Tl2AsAu structure, as listed in Alexandria.

Calculated values
V = 99.6 Å³/cell
SG = P2/m
Final energy = -11.91 eV/cell
Magnetic moment = 0.0 Bohr magnetons per cell

Unit cell a=4.984 b=3.351 c=6.914 alpha=59.65 beta=90.00 gamma=90.00
Fractional coordinates of all 4 atoms:
Tl: 0.000 0.859 0.000
Tl: 0.000 0.641 0.500
Au: 0.500 0.750 0.750
As: 0.500 0.250 0.250



First-principles (PBE) data for a geometry-optimized Tl4As2Au5 structure, as listed in Alexandria.

Calculated values
V = 274.1 Å³/cell
SG = P2/m
Final energy = -35.15 eV/cell
Magnetic moment = 0.0 Bohr magnetons per cell

Unit cell a=4.924 b=6.724 c=8.296 alpha=86.29 beta=90.00 gamma=90.00
Fractional coordinates of all 11 atoms:
Tl: 0.500 0.246 0.601
Tl: 0.500 0.764 0.896
Tl: 0.500 0.754 0.399
Tl: 0.500 0.236 0.104
As: 0.000 0.895 0.634
As: 0.000 0.105 0.366
Au: 0.000 0.492 0.331
Au: 0.000 0.861 0.141
Au: 0.000 0.500 0.000
Au: 0.000 0.139 0.859
Au: 0.000 0.508 0.669



First-principles (PBE) data for a geometry-optimized Tl8As2Au structure, as listed in Alexandria.

Calculated values
V = 334.0 Å³/cell
SG = C2/m
Final energy = -31.60 eV/cell
Magnetic moment = 0.0 Bohr magnetons per cell

Unit cell a=4.315 b=10.386 c=7.620 alpha=89.46 beta=90.00 gamma=101.99
Fractional coordinates of all 11 atoms:
Tl: 0.394 0.788 0.485
Tl: 0.644 0.288 0.002
Tl: 0.779 0.557 0.305
Tl: 0.985 0.970 0.739
Tl: 0.221 0.443 0.695
Tl: 0.356 0.712 0.998
Tl: 0.606 0.212 0.515
Tl: 0.015 0.030 0.261
As: 0.829 0.659 0.728
As: 0.171 0.341 0.272
Au: 0.500 0.000 0.000



First-principles (PBE) data for a geometry-optimized TlAs2Au structure, as listed in Alexandria.

Calculated values
V = 228.9 Å³/cell
SG = I-42d
Final energy = -28.50 eV/cell
Magnetic moment = 0.0 Bohr magnetons per cell

Unit cell a=6.091 b=6.091 c=7.523 alpha=66.12 beta=66.12 gamma=90.00
Fractional coordinates of all 8 atoms:
Tl: 0.000 0.000 0.000
Tl: 0.750 0.250 0.500
Au: 0.500 0.500 0.000
Au: 0.250 0.750 0.500
As: 0.585 0.125 0.250
As: 0.165 0.625 0.250
As: 0.375 0.415 0.750
As: 0.875 0.835 0.750



no.,Fermi-level density of states (states/eV per atom)
1,0.3995
2,0.4096
3,0.2378
4,0.4041